Entry from the Alexandria database: a geometry-optimized ZnHgS2 structure (PBE).

- M_tot (μB per atom) = 0.000
- DOS at the Fermi energy (states/eV/cell) = 0.000
- E_tot (hartree per atom) = -0.1049
- ρ (Mg/m³) = 5.8
- space-group type = Pnma, No. 62

Lattice parameters (Å, degrees): 6.6266 3.9083 14.5881 90.00 90.00 90.00
Fractional positions:
S 0.7143 0.2500 0.4224
S 0.7857 0.7500 0.9224
S 0.2857 0.7500 0.5776
S 0.2143 0.2500 0.0776
S 0.3430 0.2500 0.8111
S 0.1570 0.7500 0.3111
S 0.6570 0.7500 0.1889
S 0.8430 0.2500 0.6889
Zn 0.1988 0.2500 0.6596
Zn 0.3012 0.7500 0.1596
Zn 0.8012 0.7500 0.3404
Zn 0.6988 0.2500 0.8404
Hg 0.3589 0.2500 0.3769
Hg 0.1411 0.7500 0.8769
Hg 0.6411 0.7500 0.6231
Hg 0.8589 0.2500 0.1231

=====

Entry from the Alexandria database: a geometry-optimized Li2SbPIr structure (PBE).

- M_tot (μB per atom) = 0.000
- DOS at the Fermi energy (states/eV/cell) = 3.058
- E_tot (hartree per atom) = -0.1368
- ρ (Mg/m³) = 5.2
- space-group type = P4/mmm, No. 123

Lattice parameters (Å, degrees): 4.8661 4.8572 4.8661 90.00 90.00 90.00
Fractional positions:
Sb 0.0000 0.0000 0.0000
Ir 0.0000 0.5000 0.0000
Li 0.0000 0.0000 0.5000
Li 0.5000 0.0000 0.0000
P 0.5000 0.5000 0.5000

=====

Entry from the Alexandria database: a geometry-optimized Fe2AsIr structure (PBE).

- M_tot (μB per atom) = 1.279
- calculated formation energy (eV/atom) = 0.06
- DOS at the Fermi energy (states/eV/cell) = 3.145
- E_tot (hartree per atom) = -0.2775
- ρ (Mg/m³) = 11.6
- space-group type = Cm, No. 8

Lattice parameters (Å, degrees): 4.3496 4.3496 4.6442 80.91 80.91 38.83
Site moments in Bohr magnetons follow the coordinates.
Fractional positions:
As 0.7507 0.7507 0.7591  -0.04
Fe 0.9918 0.9918 0.0168  2.35
Fe 0.2515 0.2515 0.2207  2.58
Ir 0.5059 0.5059 0.5033  0.23

=====

Entry from the Alexandria database: a geometry-optimized Na10Tl6Hg structure (PBE).

- M_tot (μB per atom) = 0.000
- calculated formation energy (eV/atom) = -0.09
- DOS at the Fermi energy (states/eV/cell) = 7.533
- E_tot (hartree per atom) = -0.0632
- ρ (Mg/m³) = 5.4
- space-group type = P-31m, No. 162

Lattice parameters (Å, degrees): 6.4594 9.5047 9.5047 120.00 90.00 90.00
Fractional positions:
Na 0.8071 0.7275 0.7275
Na 0.8071 0.0000 0.2725
Na 0.8071 0.2725 0.0000
Na 0.1929 0.2725 0.2725
Na 0.1929 0.0000 0.7275
Na 0.1929 0.7275 0.0000
Na 0.5000 0.3333 0.6667
Na 0.5000 0.6667 0.3333
Na 0.0000 0.6667 0.3333
Na 0.0000 0.3333 0.6667
Tl 0.6834 0.3728 0.3728
Tl 0.6834 0.0000 0.6272
Tl 0.6834 0.6272 0.0000
Tl 0.3166 0.6272 0.6272
Tl 0.3166 0.0000 0.3728
Tl 0.3166 0.3728 0.0000
Hg 0.5000 0.0000 0.0000

=====

What did the first record say?
Entry from the Alexandria database: a geometry-optimized ZnHgS2 structure (PBE).

- M_tot (μB per atom) = 0.000
- DOS at the Fermi energy (states/eV/cell) = 0.000
- E_tot (hartree per atom) = -0.1049
- ρ (Mg/m³) = 5.8
- space-group type = Pnma, No. 62

Lattice parameters (Å, degrees): 6.6266 3.9083 14.5881 90.00 90.00 90.00
Fractional positions:
S 0.7143 0.2500 0.4224
S 0.7857 0.7500 0.9224
S 0.2857 0.7500 0.5776
S 0.2143 0.2500 0.0776
S 0.3430 0.2500 0.8111
S 0.1570 0.7500 0.3111
S 0.6570 0.7500 0.1889
S 0.8430 0.2500 0.6889
Zn 0.1988 0.2500 0.6596
Zn 0.3012 0.7500 0.1596
Zn 0.8012 0.7500 0.3404
Zn 0.6988 0.2500 0.8404
Hg 0.3589 0.2500 0.3769
Hg 0.1411 0.7500 0.8769
Hg 0.6411 0.7500 0.6231
Hg 0.8589 0.2500 0.1231

=====

Which formula does entry 2 have? Li2SbPIr